[1]
Compound: CsLiBi2Cl8
Source: the Alexandria database
Functional: GGA-PBE
Structure: optimized geometry

Computed properties:
calculated volume = 36.17 Å³/atom
DFT total energy = -3.36 eV/atom
E_form (uncorrected) = -1253 meV/atom

Unit cell a=6.9349 b=6.9650 c=9.2303 alpha=88.30 beta=87.48 gamma=77.10
Last column: nearest neighbours and their distance in Å.
Space group P-1 (No. 2)
Symmetry-distinct sites (fractional):
Cs 0.0000 0.0000 0.0000  4 Cl 3.32-3.33
Li 0.0000 0.0000 0.5000  4 Cl 2.51-2.56
Bi 0.4930 0.4993 0.7273  4 Cl 2.55-2.70
Cl 0.2367 0.8447 0.3016  1 Li 2.51, 1 Bi 2.70
Cl 0.2499 0.8523 0.6921  1 Li 2.56, 1 Bi 2.67
Cl 0.2895 0.3763 0.5410  1 Bi 2.55
Cl 0.2947 0.3937 0.9505  1 Bi 2.61


[2]
Compound: CoIrOs
Source: the Alexandria database
Functional: GGA-PBE
Structure: optimized geometry

Computed properties:
relative energy among the computed polymorphs = 5.4 kJ per mole of atoms
calculated volume = 13.28 Å³/atom
DFT total energy = -8.97 eV/atom
formation energy from the elements = 0.28 eV/f.u.

Unit cell a=2.6950 b=2.6950 c=10.9668 alpha=90.00 beta=90.00 gamma=90.00
Last column: nearest neighbours and their distance in Å.
Space group I4mm (No. 107)
Symmetry-distinct sites (fractional):
Co 0.0000 0.0000 0.0000  4 Os 2.58, 4 Ir 2.65, 4 Co 2.70
Ir 0.0000 0.0000 0.6678  4 Co 2.65, 4 Os 2.69, 4 Ir 2.70
Os 0.0000 0.0000 0.3414  4 Co 2.58, 4 Ir 2.69, 4 Os 2.70


[3]
Compound: TbTh2Bi3
Source: the Alexandria database
Functional: GGA-PBE
Structure: optimized geometry

Computed properties:
relative energy among the computed polymorphs = 6.0 kJ per mole of atoms
calculated volume = 34.76 Å³/atom
DFT total energy = -5.79 eV/atom
formation energy from the elements = -3.62 eV/f.u.

Unit cell a=17.3386 b=4.5641 c=11.0398 alpha=90.00 beta=107.27 gamma=90.00
Last column: nearest neighbours and their distance in Å.
Space group C2/m (No. 12)
Symmetry-distinct sites (fractional):
Tb 0.0000 0.0000 0.0000  6 Bi 3.23-3.25
Tb 0.0000 0.5000 0.5000  6 Bi 3.22-3.28
Th 0.1666 0.0000 0.8339  6 Bi 3.26-3.29
Th 0.1681 0.5000 0.3364  6 Bi 3.27-3.30
Bi 0.0267 0.5000 0.8066  3 Tb 3.25-3.28, 3 Th 3.28
Bi 0.1349 0.0000 0.5278  2 Tb 3.22, 4 Th 3.26-3.30
Bi 0.1921 0.0000 0.1387  1 Tb 3.23, 5 Th 3.26-3.29


[4]
Compound: Al2InCu2
Source: the Alexandria database
Functional: GGA-PBE
Structure: optimized geometry

Computed properties:
relative energy among the computed polymorphs = 1.9 kJ per mole of atoms
calculated volume = 16.49 Å³/atom
DFT total energy = -3.66 eV/atom
formation energy from the elements = 0.12 eV/f.u.

Unit cell a=7.8221 b=7.8221 c=2.6954 alpha=90.00 beta=90.00 gamma=90.00
Last column: nearest neighbours and their distance in Å.
Space group P4/mbm (No. 127)
Symmetry-distinct sites (fractional):
Al 0.1271 0.3729 0.0000  6 Cu 2.65-2.68, 3 Al 2.70-2.81
In 0.0000 0.0000 0.0000  2 In 2.70
Cu 0.1671 0.6671 0.5000  6 Al 2.65-2.68, 2 Cu 2.70


[5]
Compound: Tm5HfMg4
Source: the Alexandria database
Functional: GGA-PBE
Structure: optimized geometry

Computed properties:
calculated volume = 26.41 Å³/atom
DFT total energy = -3.89 eV/atom
formation energy from the elements = -0.17 eV/f.u.

Unit cell a=3.5005 b=3.5005 c=21.5544 alpha=90.00 beta=90.00 gamma=90.00
Last column: nearest neighbours and their distance in Å.
Space group P4/mmm (No. 123)
Symmetry-distinct sites (fractional):
Tm 0.0000 0.0000 0.0000  8 Mg 3.24, 4 Tm 3.50
Tm 0.0000 0.0000 0.1942  8 Mg 3.24-3.28, 4 Tm 3.50
Tm 0.0000 0.0000 0.4005  4 Hf 3.27, 4 Mg 3.37, 4 Tm 3.50
Hf 0.5000 0.5000 0.5000  8 Tm 3.27, 4 Hf 3.50
Mg 0.5000 0.5000 0.0971  8 Tm 3.24, 4 Mg 3.50
Mg 0.5000 0.5000 0.2943  8 Tm 3.28-3.37, 4 Mg 3.50


[6]
Compound: ScTi2AuC
Source: the Alexandria database
Functional: GGA-PBE
Structure: optimized geometry

Computed properties:
calculated volume = 15.72 Å³/atom
DFT total energy = -7.51 eV/atom
formation energy from the elements = -2.94 eV/f.u.

Unit cell a=4.2077 b=4.2077 c=4.4395 alpha=90.00 beta=90.00 gamma=90.00
Last column: nearest neighbours and their distance in Å.
Space group P4/mmm (No. 123)
Symmetry-distinct sites (fractional):
Sc 0.0000 0.0000 0.0000  2 C 2.22
Ti 0.0000 0.5000 0.5000  2 C 2.10
Au 0.5000 0.5000 0.0000  4 Sc 2.98, 8 Ti 3.06
C 0.0000 0.0000 0.5000  4 Ti 2.10, 2 Sc 2.22


Among the records above, which one has the highest DFT total energy?
CsLiBi2Cl8


Among the records above, which one has the highest calculated volume?
CsLiBi2Cl8


Number 4 is which compound?
Al2InCu2